No. 1
Here is CsPrNpS4 after structural relaxation from Alexandria. Energies are from GGA-PBE.

The structure in CIF format:
```
data_CsPrNpS4
_cell_length_a 8.470
_cell_length_b 8.988
_cell_length_c 12.246
_cell_angle_alpha 90.00
_cell_angle_beta 90.00
_cell_angle_gamma 90.00
_space_group_name_H-M_alt 'I m m a'
_space_group_IT_number 74
_space_group_name_Hall '-I 2b 2'
loop_
_atom_site_label
_atom_site_type_symbol
_atom_site_fract_x
_atom_site_fract_y
_atom_site_fract_z
_atom_site_occupancy
Cs1 Cs 0.000 0.250 0.137 1
Pr1 Pr 0.000 0.000 0.500 1
Np1 Np 0.250 0.250 0.750 1
S1 S 0.000 0.060 0.734 1
S2 S 0.213 0.250 0.531 1
```



No. 2
Here is Cs3PrNp3Se8 after structural relaxation from Alexandria. Energies are from GGA-PBE.

The structure in CIF format:
```
data_Cs3PrNp3Se8
_cell_length_a 14.850
_cell_length_b 8.570
_cell_length_c 9.817
_cell_angle_alpha 90.00
_cell_angle_beta 120.31
_cell_angle_gamma 90.00
_space_group_name_H-M_alt 'C 1 2/m 1'
_space_group_IT_number 12
_space_group_name_Hall '-C 2y'
loop_
_atom_site_label
_atom_site_type_symbol
_atom_site_fract_x
_atom_site_fract_y
_atom_site_fract_z
_atom_site_occupancy
Cs1 Cs 0.000 0.000 0.000 1
Cs2 Cs 0.250 0.250 0.000 1
Pr1 Pr 0.000 0.000 0.500 1
Np1 Np 0.000 0.500 0.500 1
Np2 Np 0.250 0.250 0.500 1
Se1 Se 0.024 0.258 0.315 1
Se2 Se 0.228 0.500 0.682 1
Se3 Se 0.234 0.000 0.685 1
```



No. 3
Here is Cs4Pr3NpSe8 after structural relaxation from Alexandria. Energies are from GGA-PBE.

The structure in CIF format:
```
data_Cs4Pr3NpSe8
_cell_length_a 8.8415
_cell_length_b 8.8415
_cell_length_c 25.2050
_cell_angle_alpha 90.00
_cell_angle_beta 90.00
_cell_angle_gamma 120.00
_space_group_name_H-M_alt 'R -3 m'
_space_group_IT_number 166
_space_group_name_Hall '-R 3 2"'
loop_
_atom_site_label
_atom_site_type_symbol
_atom_site_fract_x
_atom_site_fract_y
_atom_site_fract_z
_atom_site_occupancy
Cs1 Cs 0.0000 0.0000 0.0000 1
Cs2 Cs 0.0000 0.5000 0.0000 1
Pr1 Pr 0.0000 0.5000 0.5000 1
Np1 Np 0.0000 0.0000 0.5000 1
Se1 Se 0.0000 0.0000 0.2309 1
Se2 Se 0.0053 0.5027 0.2298 1
```



No. 4
Here is Cs3Pr2NpTe6 after structural relaxation from Alexandria. Energies are from GGA-PBE.

The structure in CIF format:
```
data_Cs3Pr2NpTe6
_cell_length_a 8.135
_cell_length_b 14.049
_cell_length_c 9.337
_cell_angle_alpha 90.00
_cell_angle_beta 106.75
_cell_angle_gamma 90.00
_space_group_name_H-M_alt 'C 1 2/m 1'
_space_group_IT_number 12
_space_group_name_Hall '-C 2y'
loop_
_atom_site_label
_atom_site_type_symbol
_atom_site_fract_x
_atom_site_fract_y
_atom_site_fract_z
_atom_site_occupancy
Cs1 Cs 0.000 0.000 0.000 1
Cs2 Cs 0.000 0.332 0.000 1
Pr1 Pr 0.000 0.166 0.500 1
Np1 Np 0.000 0.500 0.500 1
Te1 Te 0.229 0.336 0.694 1
Te2 Te 0.236 0.000 0.695 1
```



No. 5
Here is CsNpPtS4 after structural relaxation from Alexandria. Energies are from GGA-PBE.

The structure in CIF format:
```
data_CsNpPtS4
_cell_length_a 6.519
_cell_length_b 6.167
_cell_length_c 9.490
_cell_angle_alpha 90.00
_cell_angle_beta 106.62
_cell_angle_gamma 90.00
_space_group_name_H-M_alt 'P 1 21/m 1'
_space_group_IT_number 11
_space_group_name_Hall '-P 2yb'
loop_
_atom_site_label
_atom_site_type_symbol
_atom_site_fract_x
_atom_site_fract_y
_atom_site_fract_z
_atom_site_occupancy
Cs1 Cs 0.239 0.250 0.043 1
Np1 Np 0.240 0.250 0.546 1
Pt1 Pt 0.234 0.750 0.375 1
S1 S 0.029 0.515 0.689 1
S2 S 0.456 0.750 0.211 1
S3 S 0.478 0.750 0.602 1
```



No. 6
Here is Cs3Np3PtS8 after structural relaxation from Alexandria. Energies are from GGA-PBE.

The structure in CIF format:
```
data_Cs3Np3PtS8
_cell_length_a 13.613
_cell_length_b 7.988
_cell_length_c 9.355
_cell_angle_alpha 90.00
_cell_angle_beta 118.52
_cell_angle_gamma 90.00
_space_group_name_H-M_alt 'C 1 2/m 1'
_space_group_IT_number 12
_space_group_name_Hall '-C 2y'
loop_
_atom_site_label
_atom_site_type_symbol
_atom_site_fract_x
_atom_site_fract_y
_atom_site_fract_z
_atom_site_occupancy
Cs1 Cs 0.000 0.000 0.000 1
Cs2 Cs 0.250 0.250 0.000 1
Np1 Np 0.000 0.500 0.500 1
Np2 Np 0.250 0.250 0.500 1
Pt1 Pt 0.000 0.000 0.500 1
S1 S 0.025 0.251 0.323 1
S2 S 0.206 0.000 0.663 1
S3 S 0.228 0.500 0.683 1
```



Number 1: calculated volume 932.3 Å³ per cell, formation energy without anion corrections -1011.2 kJ/mol of formula units. Number 2: calculated volume 1078.6 Å³ per cell, formation energy without anion corrections -1973.6 kJ/mol of formula units. Number 3: calculated volume 1706.4 Å³ per cell, formation energy without anion corrections -2461.0 kJ/mol of formula units. Number 4: calculated volume 1021.7 Å³ per cell, formation energy without anion corrections -1430.6 kJ/mol of formula units. Number 5: calculated volume 365.5 Å³ per cell, formation energy without anion corrections -568.5 kJ/mol of formula units. Number 6: calculated volume 893.8 Å³ per cell, formation energy without anion corrections -1617.2 kJ/mol of formula units.